Version 1
Entry from the Alexandria database: La2BePb after structural relaxation (PBE-GGA).

D(E_F) = 0.57 states/eV per atom
Symmetry = P4/mmm (123)

Cell and atoms, written as POSCAR:
```
La2BePb
1.0
3.731 -0.016 0.000
0.017 3.731 0.000
0.000 0.000 7.950
Pb Be La
1 1 2
Direct
0.500 0.500 0.250 Pb
0.500 0.500 0.750 Be
0.000 0.000 0.966 La
0.000 0.000 0.534 La
```

***

Version 2
Entry from the Alexandria database: La2BePb after structural relaxation (PBE-GGA).

D(E_F) = 1.06 states/eV per atom
Symmetry = Cmm2 (35)

Cell and atoms, written as POSCAR:
```
La2BePb
1.0
3.483 0.359 0.000
-0.370 3.482 0.000
0.000 0.000 9.210
Pb Be La
1 1 2
Direct
0.000 0.000 0.559 Pb
0.500 0.500 0.722 Be
0.000 0.000 0.934 La
0.500 0.500 0.285 La
```

***

Version 3
Entry from the Alexandria database: La2BePb after structural relaxation (PBE-GGA).

D(E_F) = 1.25 states/eV per atom
Symmetry = C2/m (12)

Cell and atoms, written as POSCAR:
```
La2BePb
1.0
4.906 0.042 -0.035
3.332 3.601 -0.035
1.575 0.697 7.150
Pb Be La
1 1 2
Direct
0.750 0.750 0.750 Pb
0.250 0.250 0.250 Be
0.989 0.989 0.032 La
0.511 0.511 0.468 La
```

***

Pick the least stable structure from those above. Pick: version 2